1.
Pr4NdHo15 after structural relaxation. Source: Alexandria via LeMat-Bulk, functional PBE.

Lattice parameters (Å, degrees): 5.0580 5.0580 25.1317 90.00 90.00 90.00
With the nearest neighbours (Å) after each atom.
Fractional positions:
Ho: 0.5000 0.0000 0.3000  4 Pr 3.56-3.57, 8 Ho 3.57-3.58
Ho: 0.0000 0.5000 0.5000  8 Ho 3.56-3.58, 4 Pr 3.57
Ho: 0.0000 0.5000 0.3000  4 Pr 3.56-3.57, 8 Ho 3.57-3.58
Ho: 0.0000 0.5000 0.0998  8 Ho 3.56-3.58, 2 Nd 3.56, 2 Pr 3.57
Pr: 0.0000 0.0000 0.4000  12 Ho 3.56-3.58
Ho: 0.5000 0.5000 0.4000  8 Ho 3.56-3.57, 4 Pr 3.58
Ho: 0.5000 0.0000 0.5000  8 Ho 3.56-3.58, 4 Pr 3.57
Pr: 0.0000 0.0000 0.2000  12 Ho 3.57-3.58
Ho: 0.5000 0.5000 0.8001  8 Ho 3.57, 4 Pr 3.58
Pr: 0.0000 0.0000 0.8000  12 Ho 3.57-3.58
Ho: 0.0000 0.5000 0.7000  4 Pr 3.56-3.57, 8 Ho 3.57-3.58
Ho: 0.5000 0.0000 0.0998  8 Ho 3.56-3.58, 2 Nd 3.56, 2 Pr 3.57
Ho: 0.5000 0.5000 0.6000  8 Ho 3.56-3.57, 4 Pr 3.58
Ho: 0.0000 0.5000 0.9002  8 Ho 3.56-3.58, 2 Nd 3.56, 2 Pr 3.57
Nd: 0.0000 0.0000 0.0000  12 Ho 3.56-3.58
Ho: 0.5000 0.0000 0.7000  4 Pr 3.56-3.57, 8 Ho 3.57-3.58
Ho: 0.5000 0.0000 0.9002  8 Ho 3.56-3.58, 2 Nd 3.56, 2 Pr 3.57
Pr: 0.0000 0.0000 0.6000  12 Ho 3.56-3.58
Ho: 0.5000 0.5000 0.0000  8 Ho 3.56, 4 Nd 3.58
Ho: 0.5000 0.5000 0.1999  8 Ho 3.57, 4 Pr 3.58

Results
Energy of formation (eV/f.u.): 0.444
Calculated total energy (eV/f.u.): -92.1
Space group: P4/mmm, No. 123
Crystal system: tetragonal
Density (Mg/m³): 8.22

=====

2.
Pr12NdHo7 after structural relaxation. Source: Alexandria via LeMat-Bulk, functional PBE.

Lattice parameters (Å, degrees): 9.4956 9.4956 9.4956 107.88 107.88 107.88
With the nearest neighbours (Å) after each atom.
Fractional positions:
Ho: 0.9924 0.1050 0.6804  7 Pr 3.39-3.74, 1 Nd 3.46, 3 Ho 3.47-3.70
Ho: 0.3196 0.0076 0.8950  7 Pr 3.39-3.74, 1 Nd 3.46, 3 Ho 3.47-3.70
Ho: 0.6804 0.9924 0.1050  7 Pr 3.39-3.74, 1 Nd 3.46, 3 Ho 3.47-3.70
Pr: 0.3772 0.2208 0.6716  4 Pr 3.40-3.79, 4 Ho 3.40-3.60
Pr: 0.4078 0.0525 0.2951  5 Ho 3.39-3.77, 4 Pr 3.40-3.79
Pr: 0.3284 0.6228 0.7792  4 Pr 3.40-3.79, 4 Ho 3.40-3.60
Nd: 0.0000 0.0000 0.0000  6 Ho 3.46, 6 Pr 3.79
Ho: 0.1050 0.6804 0.9924  7 Pr 3.39-3.74, 1 Nd 3.46, 3 Ho 3.47-3.70
Pr: 0.0525 0.2951 0.4078  5 Ho 3.39-3.77, 4 Pr 3.40-3.79
Ho: 0.8950 0.3196 0.0076  7 Pr 3.39-3.74, 1 Nd 3.46, 3 Ho 3.47-3.70
Pr: 0.6228 0.7792 0.3284  4 Pr 3.40-3.79, 4 Ho 3.40-3.60
Pr: 0.7792 0.3284 0.6228  4 Pr 3.40-3.79, 4 Ho 3.40-3.60
Pr: 0.2951 0.4078 0.0525  5 Ho 3.39-3.77, 4 Pr 3.40-3.79
Ho: 0.0076 0.8950 0.3196  7 Pr 3.39-3.74, 1 Nd 3.46, 3 Ho 3.47-3.70
Pr: 0.6716 0.3772 0.2208  4 Pr 3.40-3.79, 4 Ho 3.40-3.60
Pr: 0.2208 0.6716 0.3772  4 Pr 3.40-3.79, 4 Ho 3.40-3.60
Pr: 0.7049 0.5922 0.9475  5 Ho 3.39-3.77, 4 Pr 3.40-3.79
Pr: 0.9475 0.7049 0.5922  5 Ho 3.39-3.77, 4 Pr 3.40-3.79
Pr: 0.5922 0.9475 0.7049  5 Ho 3.39-3.77, 4 Pr 3.40-3.79
Ho: 0.5000 0.5000 0.5000  12 Pr 3.60-3.77

Results
Energy of formation (eV/f.u.): 2.882
Calculated total energy (eV/f.u.): -91.3
Energy above the most stable polymorph in this dataset (kcal/mol of atoms): 0.000
Space group: R-3, No. 148
Crystal system: trigonal
Density (Mg/m³): 7.14

=====

3.
PrNdHo5 after structural relaxation. Source: Alexandria via LeMat-Bulk, functional PBE.

Lattice parameters (Å, degrees): 6.7819 6.7819 13.8507 61.11 61.11 60.74
With the nearest neighbours (Å) after each atom.
Fractional positions:
Ho: 0.1730 0.3924 0.7462  2 Ho 3.01-3.30, 1 Nd 3.29
Ho: 0.3575 0.3012 0.4983  4 Ho 3.30-3.58, 1 Pr 3.33
Ho: 0.6076 0.8270 0.7538  2 Ho 3.01-3.30, 1 Nd 3.29
Ho: 0.8270 0.6076 0.2538  2 Ho 3.01-3.30, 1 Nd 3.29
Nd: 0.0000 0.0000 0.5000  4 Ho 3.29-3.64
Nd: 0.0000 0.0000 0.0000  4 Ho 3.29-3.64
Ho: 0.1617 0.8383 0.7500  1 Pr 3.00, 2 Ho 3.01
Ho: 0.8383 0.1617 0.2500  1 Pr 3.00, 2 Ho 3.01
Ho: 0.3012 0.3575 0.9983  4 Ho 3.30-3.58, 1 Pr 3.33
Ho: 0.3924 0.1730 0.2462  2 Ho 3.01-3.30, 1 Nd 3.29
Ho: 0.6988 0.6425 0.0017  4 Ho 3.30-3.58, 1 Pr 3.33
Pr: 0.2760 0.7240 0.2500  3 Ho 3.00-3.33
Ho: 0.6425 0.6988 0.5017  4 Ho 3.30-3.58, 1 Pr 3.33
Pr: 0.7240 0.2760 0.7500  3 Ho 3.00-3.33

Results
Energy of formation (eV/f.u.): 1.355
Calculated total energy (eV/f.u.): -31.1
Energy above the most stable polymorph in this dataset (kcal/mol of atoms): 0.000
Space group: C2/c, No. 15
Crystal system: monoclinic
Density (Mg/m³): 8.00